1.
NbBiAsSe2 | PBE | relaxed

uncorrected formation energy = 0.3 eV per formula unit

abc: 4.9651 4.9651 5.2888
angles: 90.00 90.00 90.00
Fractional positions:
Se  0.5000  0.0000  0.0000
Se  0.0000  0.5000  0.0000
Nb  0.0000  0.0000  0.0000
As  0.0000  0.0000  0.5000
Bi  0.5000  0.5000  0.5000



2.
BaCoTc2 | PBE | relaxed

formation enthalpy at 0 K = 1.401 eV/atom

abc: 4.6158 4.6158 4.6158
angles: 60.00 60.00 60.00
Fractional positions:
Co  0.0000  0.0000  0.0000
Ba  0.5000  0.5000  0.5000
Tc  0.2500  0.2500  0.2500
Tc  0.7500  0.7500  0.7500



3.
CsCuTeO4 | PBE | relaxed

uncorrected formation energy = -6.7 eV per formula unit

abc: 5.7071 6.4557 8.7239
angles: 90.00 115.87 90.00
Fractional positions:
O  0.0165  0.4750  0.7037
O  0.2990  0.7500  0.1542
O  0.5187  0.7500  0.5477
O  0.9835  0.5250  0.2963
O  0.0165  0.0250  0.7037
O  0.9835  0.9750  0.2963
O  0.7010  0.2500  0.8458
O  0.4813  0.2500  0.4523
Cs  0.6015  0.7500  0.9174
Cs  0.3985  0.2500  0.0826
Cu  0.0853  0.2500  0.3528
Cu  0.9147  0.7500  0.6472
Te  0.2187  0.7500  0.3374
Te  0.7813  0.2500  0.6626



4.
Ba2NiAg | PBE | relaxed

formation enthalpy at 0 K = 0.024 eV/atom

abc: 8.4205 8.4205 8.4205
angles: 148.35 149.47 44.55
Fractional positions:
Ba  0.7608  0.2608  0.5000
Ba  0.9956  0.9956  0.0000
Ni  0.4099  0.4099  0.0000
Ag  0.3337  0.8337  0.5000



5.
TbCu | PBE | relaxed

formation enthalpy at 0 K = -0.241 eV/atom

abc: 3.4820 3.4820 3.4820
angles: 90.00 90.00 90.00
Fractional positions:
Tb  0.0000  0.0000  0.0000
Cu  0.5000  0.5000  0.5000



6.
MnTlTe2N | PBE | relaxed

uncorrected formation energy = 6.5 eV per formula unit

abc: 5.8795 5.8795 4.2522
angles: 90.00 90.00 90.00
Each line ends with the local moment (μB).
Fractional positions:
Te  0.5000  0.0000  0.0000  0.09
Te  0.0000  0.5000  0.0000  0.09
N  0.0000  0.0000  0.5000  0.97
Mn  0.5000  0.5000  0.5000  4.47
Tl  0.0000  0.0000  0.0000  0.00



7.
PrHo2ThP4 | PBE | relaxed

formation enthalpy at 0 K = -1.587 eV/atom

abc: 4.0878 7.0437 7.0774
angles: 70.51 90.00 90.00
Fractional positions:
Pr  0.5000  0.5000  0.0000
Th  0.0000  0.5000  0.5000
P  0.0000  0.7607  0.7430
P  0.0000  0.2393  0.2570
P  0.5000  0.2406  0.7504
P  0.5000  0.7594  0.2496
Ho  0.5000  0.0000  0.5000
Ho  0.0000  0.0000  0.0000



8.
LiYP2 | PBE | relaxed

formation enthalpy at 0 K = -0.290 eV/atom

abc: 4.6336 4.6336 4.6336
angles: 60.00 60.00 60.00
Fractional positions:
P  0.0000  0.0000  0.0000
P  0.2500  0.2500  0.2500
Y  0.7500  0.7500  0.7500
Li  0.5000  0.5000  0.5000



9.
Li2CuTc | PBE | relaxed

formation enthalpy at 0 K = 0.196 eV/atom

abc: 5.3265 5.3265 5.3265
angles: 152.66 128.42 59.36
Each line ends with the local moment (μB).
Fractional positions:
Li  0.0136  0.0136  0.0000  -0.01
Li  0.4864  0.4864  0.0000  -0.01
Tc  0.7500  0.2500  0.5000  0.57
Cu  0.2500  0.7500  0.5000  0.06



10.
Tc2SbCl | PBE | relaxed

uncorrected formation energy = 3.3 eV per formula unit

abc: 4.7536 4.7536 4.7536
angles: 124.42 124.42 82.49
Each line ends with the local moment (μB).
Fractional positions:
Tc  0.2500  0.7500  0.5000  -0.84
Tc  0.0000  0.0000  0.0000  0.99
Sb  0.7500  0.2500  0.5000  -0.03
Cl  0.5000  0.5000  0.0000  0.07



11.
NdY8Ho6 | PBE | relaxed

formation enthalpy at 0 K = 0.237 eV/atom

abc: 6.5497 9.4213 9.4213
angles: 120.00 90.00 90.00
Fractional positions:
Ho  0.4079  0.0912  0.4127
Ho  0.5921  0.4127  0.3214
Ho  0.5921  0.6786  0.0912
Ho  0.5921  0.9088  0.5873
Ho  0.4079  0.5873  0.6786
Ho  0.4079  0.3214  0.9088
Y  0.0987  0.3115  0.3386
Y  0.0987  0.6614  0.9729
Y  0.9013  0.3386  0.0271
Y  0.8251  0.3333  0.6667
Y  0.9013  0.6885  0.6614
Y  0.9013  0.9729  0.3115
Y  0.1749  0.6667  0.3333
Y  0.0987  0.0271  0.6885
Nd  0.5000  0.0000  0.0000



12.
Zn4PdAu2 | PBE | relaxed

formation enthalpy at 0 K = -0.261 eV/atom

abc: 4.2122 5.3874 5.3874
angles: 104.73 90.00 90.00
Fractional positions:
Zn  0.5000  0.5000  0.0000
Zn  0.5000  0.0000  0.5000
Zn  0.0000  0.2175  0.2175
Zn  0.0000  0.7825  0.7825
Au  0.0000  0.2639  0.7361
Au  0.0000  0.7361  0.2639
Pd  0.5000  0.5000  0.5000



13.
KTlNiH6 | PBE | relaxed

electronic total energy = -3.21 eV per atom

abc: 5.6087 5.6059 4.8651
angles: 90.00 89.99 59.90
Fractional positions:
K  0.6665  0.6663  0.5003
H  0.5631  0.2982  0.6915
H  0.1382  0.5636  0.6913
H  0.5635  0.1382  0.3086
H  0.2983  0.5633  0.3083
H  0.1389  0.2984  0.3084
H  0.2981  0.1390  0.6913
Ni  0.3334  0.3335  0.4999
Tl  0.9998  0.9995  0.0003



14.
HgIrRuS2 | PBE | relaxed

uncorrected formation energy = 10.1 eV per formula unit

abc: 4.8039 5.1260 4.8039
angles: 90.00 90.00 90.00
Each line ends with the local moment (μB).
Fractional positions:
Hg  0.0000  0.0000  0.0000  -0.01
Ir  0.0000  0.5000  0.0000  1.05
S  0.0000  0.0000  0.5000  0.09
S  0.5000  0.0000  0.0000  0.14
Ru  0.5000  0.5000  0.5000  2.84



15.
Zn4Te3 | PBE | relaxed

uncorrected formation energy = -0.6 eV per formula unit

abc: 11.1486 11.1486 11.1486
angles: 159.09 159.09 29.74
Fractional positions:
Zn  0.5549  0.5549  0.0000
Zn  0.4451  0.4451  0.0000
Zn  0.1748  0.1748  0.0000
Zn  0.8252  0.8252  0.0000
Te  0.6749  0.6749  0.0000
Te  0.3251  0.3251  0.0000
Te  0.0000  0.0000  0.0000



16.
CsRb2BaAs | PBE | relaxed

formation enthalpy at 0 K = -0.239 eV/atom

abc: 7.1292 7.1292 6.5011
angles: 90.00 90.00 90.00
Fractional positions:
Ba  0.0000  0.0000  0.5000
As  0.0000  0.0000  0.0000
Cs  0.5000  0.5000  0.5000
Rb  0.5000  0.0000  0.0000
Rb  0.0000  0.5000  0.0000



17.
NaGaTe2O6 | PBE | relaxed

uncorrected formation energy = -13.8 eV per formula unit

abc: 7.9227 10.4856 13.5951
angles: 90.00 90.00 90.00
Fractional positions:
Ga  0.6947  0.5024  0.9800
Ga  0.6947  0.0024  0.5200
Ga  0.8053  0.0024  0.0200
Ga  0.3053  0.9976  0.4800
Ga  0.3053  0.4976  0.0200
Ga  0.1947  0.4976  0.5200
Ga  0.1947  0.9976  0.9800
Ga  0.8053  0.5024  0.4800
O  0.8688  0.3759  0.9586
O  0.2366  0.9815  0.1270
O  0.8697  0.9716  0.1630
O  0.6303  0.9716  0.6630
O  0.5652  0.8111  0.2666
O  0.7634  0.0185  0.8730
O  0.7634  0.5185  0.6270
O  0.7366  0.0185  0.3730
O  0.2634  0.9815  0.6270
O  0.6312  0.3759  0.4586
O  0.4348  0.6889  0.7666
O  0.9348  0.3111  0.7334
O  0.8190  0.1612  0.5483
O  0.0652  0.6889  0.2666
O  0.3190  0.3388  0.5483
O  0.6810  0.6612  0.4517
O  0.4979  0.3722  0.0081
O  0.6312  0.8759  0.0414
O  0.1303  0.0284  0.8370
O  0.5652  0.3111  0.2334
O  0.2634  0.4815  0.8730
O  0.0021  0.8722  0.9919
O  0.3190  0.8388  0.9517
O  0.1312  0.1241  0.4586
O  0.7366  0.5185  0.1270
O  0.4348  0.1889  0.7334
O  0.2366  0.4815  0.3730
O  0.8697  0.4716  0.3370
O  0.5021  0.1278  0.5081
O  0.3697  0.5284  0.1630
O  0.1810  0.3388  0.0483
O  0.0021  0.3722  0.5081
O  0.9979  0.6278  0.4919
O  0.9979  0.1278  0.0081
O  0.1303  0.5284  0.6630
O  0.6810  0.1612  0.0483
O  0.9348  0.8111  0.7666
O  0.1810  0.8388  0.4517
O  0.3688  0.1241  0.9586
O  0.0652  0.1889  0.2334
O  0.8688  0.8759  0.5414
O  0.4979  0.8722  0.4919
O  0.8190  0.6612  0.9517
O  0.3697  0.0284  0.3370
O  0.6303  0.4716  0.8370
O  0.3688  0.6241  0.5414
O  0.1312  0.6241  0.0414
O  0.5021  0.6278  0.9919
Na  0.6741  0.7427  0.6415
Na  0.8259  0.2427  0.3585
Na  0.1741  0.2573  0.8585
Na  0.3259  0.7573  0.1415
Na  0.3259  0.2573  0.3585
Na  0.6741  0.2427  0.8585
Na  0.1741  0.7573  0.6415
Na  0.8259  0.7427  0.1415
Te  0.9501  0.2886  0.0746
Te  0.9219  0.4902  0.7323
Te  0.9501  0.7886  0.4254
Te  0.5499  0.7886  0.9254
Te  0.0781  0.0098  0.2323
Te  0.9219  0.9902  0.7677
Te  0.5499  0.2886  0.5746
Te  0.4219  0.5098  0.7677
Te  0.0499  0.7114  0.9254
Te  0.4501  0.7114  0.4254
Te  0.0781  0.5098  0.2677
Te  0.5781  0.4902  0.2323
Te  0.4501  0.2114  0.0746
Te  0.0499  0.2114  0.5746
Te  0.4219  0.0098  0.7323
Te  0.5781  0.9902  0.2677



18.
K2CaSiO4 | PBE | relaxed

uncorrected formation energy = -17.5 eV per formula unit

abc: 5.5085 6.4300 11.8947
angles: 84.31 76.61 64.64
Fractional positions:
O  0.4811  0.3267  0.5755
O  0.3667  0.8267  0.0755
O  0.2689  0.1733  0.9245
O  0.5578  0.1733  0.0755
O  0.9434  0.6733  0.5755
O  0.8066  0.8267  0.9245
O  0.3833  0.6733  0.4245
O  0.1922  0.3267  0.4245
K  0.9424  0.5000  0.1152
K  0.1924  0.0000  0.6152
K  0.5576  0.5000  0.8848
K  0.8076  0.0000  0.3848
Si  0.2500  0.5000  0.5000
Si  0.5000  0.0000  0.0000
Ca  0.0000  0.0000  0.0000
Ca  0.7500  0.5000  0.5000



19.
Ac5Sn4H | PBE | relaxed

electronic total energy = -4.46 eV per atom

abc: 6.7676 8.1749 8.1749
angles: 80.13 65.55 65.55
Fractional positions:
Sn  0.2035  0.2016  0.3936
Sn  0.5971  0.6064  0.2016
Sn  0.7988  0.7984  0.6064
Sn  0.4051  0.3936  0.7984
H  0.0643  0.0000  0.0000
Ac  0.7061  0.1953  0.3887
Ac  0.9014  0.3887  0.8047
Ac  0.2901  0.8047  0.6113
Ac  0.4491  0.0000  0.0000
Ac  0.0948  0.6113  0.1953



20.
Li4In8Sn | PBE | relaxed

formation enthalpy at 0 K = -0.107 eV/atom

abc: 4.5851 4.5372 15.5329
angles: 90.00 90.00 90.00
Fractional positions:
In  0.0000  0.5000  0.1864
In  0.0000  0.5000  0.9086
In  0.5000  0.0000  0.6153
In  0.5000  0.5000  0.0435
In  0.5000  0.5000  0.7568
In  0.0000  0.0000  0.4958
In  0.0000  0.0000  0.7675
In  0.5000  0.0000  0.1828
Li  0.0000  0.5000  0.6215
Li  0.5000  0.0000  0.9038
Li  0.0000  0.0000  0.0469
Li  0.5000  0.5000  0.4631
Sn  0.0000  0.0000  0.3109